1.
{
  "formula": "Sr3La3ErTe8",
  "functional": "PBE",
  "state": "relaxed",
  "lattice": [[-2.5193, -7.2543, 5.0056], [5.8241, 6.1661, 3.4739], [-8.9823, 2.3207, -1.1575]],
  "species": ["Sr", "Sr", "Sr", "La", "La", "La", "Er", "Te", "Te", "Te", "Te", "Te", "Te", "Te", "Te"],
  "frac_coords": [[0.0000, 0.0000, 0.0000], [0.0000, 0.5000, 0.0000], [0.5000, 0.5000, 0.0000], [0.5000, 0.0000, 0.5000], [0.5000, 0.5000, 0.5000], [0.0000, 0.5000, 0.5000], [0.0000, 0.0000, 0.5000], [0.2516, 0.5032, 0.2548], [0.7484, 0.4968, 0.7452], [0.7612, 0.5223, 0.2665], [0.2388, 0.4777, 0.7335], [0.7613, 0.0054, 0.2666], [0.2387, 0.9946, 0.7334], [0.2440, 0.0054, 0.2666], [0.7560, 0.9946, 0.7334]],
  "crystal_system": "trigonal",
  "volume_a3_per_fu": 560.6,
  "dos_at_fermi_per_ev_atom": 0.389,
  "m_tot_mub_per_fu": 0.00,
  "e_tot_ev_per_atom": -4.904
}

=====

2.
{
  "formula": "OsRhPb",
  "functional": "PBE",
  "state": "relaxed",
  "lattice": [[-2.3845, 1.8260, -0.0353], [-0.9381, -1.1742, 2.6278], [6.4952, 8.5182, 6.1252]],
  "species": ["Os", "Os", "Rh", "Rh", "Pb", "Pb"],
  "frac_coords": [[0.4221, 0.0000, 0.6145], [0.4221, 0.5000, 0.1145], [0.9199, 0.0000, 0.9933], [0.9199, 0.5000, 0.4933], [0.9286, 0.0000, 0.2899], [0.9286, 0.5000, 0.7899]],
  "crystal_system": "monoclinic",
  "ef_ev_per_atom": 0.60,
  "volume_a3_per_fu": 56.1,
  "dos_at_fermi_per_ev_atom": 1.177,
  "polymorph_energy_ev_per_atom": 0.139,
  "m_tot_mub_per_fu": 0.00,
  "e_tot_ev_per_atom": -6.833
}